(1)
## Mn2Fe3Co3 (PBE)

Data for a relaxed structure of Mn2Fe3Co3.

M_tot: 17.25 μB/f.u.
Crystal system: orthorhombic
Calculated total energy: -64.67 eV/f.u.

Cell: 8.4961 8.4961 8.4961 Å, 160.95 152.51 33.66°
Last column: nearest neighbours and their distance in Å.
Atoms (fractional coordinates):
Mn (0.2482, 0.2482, 0.0000)  4 Mn 2.46, 2 Co 2.47, 2 Fe 2.51
Mn (0.7518, 0.7518, 0.0000)  4 Mn 2.46, 2 Co 2.47, 2 Fe 2.51
Fe (0.0000, 0.0000, 0.0000)  8 Co 2.45-2.46
Fe (0.3758, 0.8758, 0.5000)  6 Co 2.46, 2 Mn 2.51
Fe (0.6242, 0.1242, 0.5000)  6 Co 2.46, 2 Mn 2.51
Co (0.1236, 0.6236, 0.5000)  6 Fe 2.45-2.46, 2 Mn 2.47
Co (0.5000, 0.5000, 0.0000)  8 Fe 2.46
Co (0.8764, 0.3764, 0.5000)  6 Fe 2.45-2.46, 2 Mn 2.47

(2)
## Mn12Fe5Co2 (PBE)

Data for a relaxed structure of Mn12Fe5Co2.

M_tot: 10.29 μB/f.u.
Crystal system: monoclinic
Calculated total energy: -162.71 eV/f.u.

Cell: 6.4010 6.4010 5.7243 Å, 91.43 91.43 70.26°
Last column: nearest neighbours and their distance in Å.
Atoms (fractional coordinates):
Mn (0.0587, 0.0587, 0.2185)  3 Fe 2.34-2.57, 6 Mn 2.40-2.55, 2 Co 2.48
Mn (0.0833, 0.5446, 0.7251)  1 Co 2.38, 3 Mn 2.40-2.43, 3 Fe 2.46-2.60
Mn (0.1185, 0.6783, 0.1146)  6 Mn 2.40-2.60, 4 Fe 2.42-2.58, 1 Co 2.42
Mn (0.3217, 0.8815, 0.8854)  6 Mn 2.40-2.60, 4 Fe 2.42-2.58, 1 Co 2.42
Mn (0.3736, 0.3736, 0.3863)  3 Fe 2.40-2.61, 2 Co 2.40, 4 Mn 2.60-2.67
Mn (0.4554, 0.9167, 0.2749)  1 Co 2.38, 3 Mn 2.40-2.43, 3 Fe 2.46-2.60
Mn (0.5446, 0.0833, 0.7251)  1 Co 2.38, 3 Mn 2.40-2.43, 3 Fe 2.46-2.60
Mn (0.6264, 0.6264, 0.6137)  3 Fe 2.40-2.61, 2 Co 2.40, 4 Mn 2.60-2.67
Mn (0.6783, 0.1185, 0.1146)  6 Mn 2.40-2.60, 4 Fe 2.42-2.58, 1 Co 2.42
Mn (0.8815, 0.3217, 0.8854)  6 Mn 2.40-2.60, 4 Fe 2.42-2.58, 1 Co 2.42
Mn (0.9167, 0.4554, 0.2749)  1 Co 2.38, 3 Mn 2.40-2.43, 3 Fe 2.46-2.60
Mn (0.9413, 0.9413, 0.7815)  3 Fe 2.34-2.57, 6 Mn 2.40-2.55, 2 Co 2.48
Fe (0.1595, 0.1595, 0.5891)  7 Mn 2.34-2.57, 2 Co 2.48
Fe (0.2590, 0.2590, 0.0176)  10 Mn 2.40-2.60, 2 Fe 2.53-2.64
Fe (0.5000, 0.5000, 0.0000)  6 Mn 2.42-2.61, 2 Fe 2.53
Fe (0.7410, 0.7410, 0.9824)  10 Mn 2.40-2.60, 2 Fe 2.53-2.64
Fe (0.8405, 0.8405, 0.4109)  7 Mn 2.34-2.57, 2 Co 2.48
Co (0.2406, 0.7594, 0.5000)  8 Mn 2.38-2.48, 2 Fe 2.48
Co (0.7594, 0.2406, 0.5000)  8 Mn 2.38-2.48, 2 Fe 2.48

(3)
## Mn2FeCo6 (PBE)

Data for a relaxed structure of Mn2FeCo6.

M_tot: 19.48 μB/f.u.
Crystal system: orthorhombic
Calculated total energy: -65.86 eV/f.u.

Cell: 6.6435 6.6435 6.6435 Å, 144.47 137.52 56.54°
Last column: nearest neighbours and their distance in Å.
Atoms (fractional coordinates):
Mn (0.1101, 0.1101, 0.0000)  10 Co 2.53-2.66, 1 Mn 2.58, 2 Fe 2.73
Mn (0.8899, 0.8899, 0.0000)  10 Co 2.53-2.66, 1 Mn 2.58, 2 Fe 2.73
Fe (0.5000, 0.0000, 0.5000)  4 Co 2.39
Co (0.0608, 0.3023, 0.7584)  5 Co 2.32-2.49, 3 Mn 2.53-2.59
Co (0.2358, 0.5000, 0.7358)  3 Co 2.27-2.32, 2 Fe 2.39
Co (0.4561, 0.6977, 0.7584)  5 Co 2.32-2.49, 3 Mn 2.53-2.59
Co (0.5439, 0.3023, 0.2416)  5 Co 2.32-2.49, 3 Mn 2.53-2.59
Co (0.7642, 0.5000, 0.2642)  3 Co 2.27-2.32, 2 Fe 2.39
Co (0.9392, 0.6977, 0.2416)  5 Co 2.32-2.49, 3 Mn 2.53-2.59

(4)
## MnFe4Co (PBE)

Data for a relaxed structure of MnFe4Co.

M_tot: 5.78 μB/f.u.
Crystal system: cubic
Calculated total energy: -49.32 eV/f.u.

Cell: 4.6388 4.6388 4.6388 Å, 60.00 60.00 60.00°
Last column: nearest neighbours and their distance in Å.
Atoms (fractional coordinates):
Mn (0.0000, 0.0000, 0.0000)  12 Fe 2.72, 4 Co 2.84
Fe (0.3753, 0.3753, 0.3753)  6 Fe 2.31-2.33
Fe (0.3753, 0.3753, 0.8740)  6 Fe 2.31-2.33
Fe (0.3753, 0.8740, 0.3753)  6 Fe 2.31-2.33
Fe (0.8740, 0.3753, 0.3753)  6 Fe 2.31-2.33
Co (0.7500, 0.7500, 0.7500)  12 Fe 2.72, 4 Mn 2.84

(5)
## MnFeCo2 (PBE)

Data for a relaxed structure of MnFeCo2.

M_tot: 2.99 μB/f.u.
Crystal system: tetragonal
Calculated total energy: -31.50 eV/f.u.

Cell: 4.2720 4.2720 4.2720 Å, 131.87 131.87 70.44°
Last column: nearest neighbours and their distance in Å.
Atoms (fractional coordinates):
Mn (0.0000, 0.0000, 0.0000)  4 Fe 2.46, 8 Co 2.47
Fe (0.5000, 0.5000, 0.0000)  4 Mn 2.46, 8 Co 2.47
Co (0.2500, 0.7500, 0.5000)  4 Co 2.46, 4 Fe 2.47, 4 Mn 2.47
Co (0.7500, 0.2500, 0.5000)  4 Co 2.46, 4 Fe 2.47, 4 Mn 2.47

(6)
## MnFeCo2 (PBE)

Data for a relaxed structure of MnFeCo2.

M_tot: 8.74 μB/f.u.
Crystal system: monoclinic
Calculated total energy: -31.56 eV/f.u.

Cell: 2.4846 4.0113 4.7104 Å, 90.00 99.28 90.00°
Last column: nearest neighbours and their distance in Å.
Atoms (fractional coordinates):
Mn (0.0000, 0.0000, 0.0000)  4 Co 2.47, 2 Fe 2.48, 2 Mn 2.48
Fe (0.5000, 0.0000, 0.5000)  4 Co 2.45, 2 Mn 2.48, 2 Fe 2.48
Co (0.2591, 0.5000, 0.7487)  2 Fe 2.45, 2 Mn 2.47, 4 Co 2.47-2.48
Co (0.7409, 0.5000, 0.2513)  2 Fe 2.45, 2 Mn 2.47, 4 Co 2.47-2.48

(7)
## MnFeCo2 (PBE)

Data for a relaxed structure of MnFeCo2.

M_tot: 9.00 μB/f.u.
Crystal system: monoclinic
Calculated total energy: -31.56 eV/f.u.

Cell: 2.4977 4.0369 4.7199 Å, 90.00 100.85 90.00°
Last column: nearest neighbours and their distance in Å.
Atoms (fractional coordinates):
Mn (0.0000, 0.0000, 0.0000)  4 Co 2.45, 2 Mn 2.50, 2 Fe 2.53
Fe (0.2766, 0.5000, 0.7386)  4 Co 2.43-2.46, 2 Fe 2.50, 2 Mn 2.53
Co (0.5039, 0.0000, 0.4992)  2 Fe 2.43, 2 Mn 2.45, 4 Co 2.50
Co (0.7543, 0.5000, 0.2408)  2 Fe 2.45-2.46, 2 Mn 2.45, 4 Co 2.50

(8)
## Mn2Fe2Co3 (PBE)

Data for a relaxed structure of Mn2Fe2Co3.

M_tot: 3.64 μB/f.u.
Crystal system: monoclinic
Calculated total energy: -55.61 eV/f.u.

Cell: 5.9885 5.9885 6.1045 Å, 118.54 118.54 23.54°
Last column: nearest neighbours and their distance in Å.
Atoms (fractional coordinates):
Mn (0.1429, 0.1429, 0.3415)  5 Co 2.43-2.61, 4 Mn 2.44-2.61, 4 Fe 2.52-2.57
Mn (0.8571, 0.8571, 0.6585)  5 Co 2.43-2.61, 4 Mn 2.44-2.61, 4 Fe 2.52-2.57
Fe (0.4260, 0.4260, 0.0659)  3 Fe 2.24-2.44, 4 Co 2.32-2.45
Fe (0.5740, 0.5740, 0.9341)  3 Fe 2.24-2.44, 4 Co 2.32-2.45
Co (0.2036, 0.2036, 0.7839)  3 Fe 2.32-2.45, 3 Mn 2.43-2.58, 4 Co 2.44-2.48
Co (0.5000, 0.5000, 0.5000)  2 Fe 2.35, 6 Co 2.44-2.48, 4 Mn 2.61
Co (0.7964, 0.7964, 0.2161)  3 Fe 2.32-2.45, 3 Mn 2.43-2.58, 4 Co 2.44-2.48

(9)
## MnFe7Co3 (PBE)

Data for a relaxed structure of MnFe7Co3.

M_tot: 23.07 μB/f.u.
Crystal system: orthorhombic
Calculated total energy: -88.16 eV/f.u.

Cell: 10.6585 10.6585 8.9847 Å, 90.00 90.00 165.34°
Last column: nearest neighbours and their distance in Å.
Atoms (fractional coordinates):
Mn (0.0912, 0.9088, 0.7500)  8 Fe 2.39-2.43
Mn (0.9088, 0.0912, 0.2500)  8 Fe 2.39-2.43
Fe (0.2158, 0.7842, 0.0872)  2 Co 2.42, 6 Fe 2.46-2.54
Fe (0.2158, 0.7842, 0.4128)  2 Co 2.42, 6 Fe 2.46-2.54
Fe (0.3488, 0.6512, 0.0827)  2 Mn 2.39, 4 Co 2.43-2.49, 2 Fe 2.46
Fe (0.3488, 0.6512, 0.4173)  2 Mn 2.39, 4 Co 2.43-2.49, 2 Fe 2.46
Fe (0.3585, 0.6415, 0.7500)  4 Co 2.47, 6 Fe 2.54-2.72
Fe (0.4871, 0.5129, 0.1218)  2 Fe 2.26-2.30, 2 Mn 2.43, 2 Co 2.46
Fe (0.4871, 0.5129, 0.3782)  2 Fe 2.26-2.30, 2 Mn 2.43, 2 Co 2.46
Fe (0.5129, 0.4871, 0.6218)  2 Fe 2.26-2.30, 2 Mn 2.43, 2 Co 2.46
Fe (0.5129, 0.4871, 0.8782)  2 Fe 2.26-2.30, 2 Mn 2.43, 2 Co 2.46
Fe (0.6415, 0.3585, 0.2500)  4 Co 2.47, 6 Fe 2.54-2.72
Fe (0.6512, 0.3488, 0.5827)  2 Mn 2.39, 4 Co 2.43-2.49, 2 Fe 2.46
Fe (0.6512, 0.3488, 0.9173)  2 Mn 2.39, 4 Co 2.43-2.49, 2 Fe 2.46
Fe (0.7842, 0.2158, 0.5872)  2 Co 2.42, 6 Fe 2.46-2.54
Fe (0.7842, 0.2158, 0.9128)  2 Co 2.42, 6 Fe 2.46-2.54
Co (0.0814, 0.9186, 0.0693)  8 Fe 2.43-2.63
Co (0.0814, 0.9186, 0.4307)  8 Fe 2.43-2.63
Co (0.2194, 0.7806, 0.7500)  8 Fe 2.42-2.49, 1 Mn 2.71
Co (0.7806, 0.2194, 0.2500)  8 Fe 2.42-2.49, 1 Mn 2.71
Co (0.9186, 0.0814, 0.5693)  8 Fe 2.43-2.63
Co (0.9186, 0.0814, 0.9307)  8 Fe 2.43-2.63

(10)
## MnFeCo2 (PBE)

Data for a relaxed structure of MnFeCo2.

M_tot: 7.26 μB/f.u.
Crystal system: orthorhombic
Calculated total energy: -31.40 eV/f.u.

Cell: 2.4411 2.4411 8.0620 Å, 90.00 90.00 110.68°
Last column: nearest neighbours and their distance in Å.
Atoms (fractional coordinates):
Mn (0.0000, 0.0000, 0.0000)  4 Mn 2.44, 2 Co 2.44, 2 Fe 2.46
Fe (0.5000, 0.5000, 0.2514)  2 Co 2.44, 4 Fe 2.44, 2 Mn 2.46
Co (0.0000, 0.0000, 0.5003)  2 Fe 2.44, 6 Co 2.44-2.45
Co (0.5000, 0.5000, 0.7507)  6 Co 2.44-2.45, 2 Mn 2.44